10
Lattice="-6.7847 1.9181 1.1751 -6.8647 -0.0480 -1.9914 1.1390 -8.2324 5.0826" Properties=species:S:1:pos:R:3 comment="Dy2HoPd2 (PBE-GGA, relaxed)" final_energy_ev_per_cell=-55.699 sg="No. 12" pbc="T T T"
Dy -11.4986 0.5804 -0.0699
Dy -1.2405 -3.8268 2.4073
Dy -11.2699 -2.5357 1.8590
Dy -1.0119 -6.9428 4.3362
Ho -7.9018 -0.2181 0.3350
Ho -4.6086 -6.1443 3.9313
Pd -3.0899 -1.7620 1.1721
Pd -6.0041 -1.9775 1.3794
Pd -6.5064 -4.3850 2.8869
Pd -9.4206 -4.6004 3.0943

---

12
Lattice="-1.5139 0.5264 6.8812 -4.0440 -2.6100 -0.6900 4.4672 -7.3298 1.5435" Properties=species:S:1:pos:R:3 comment="DyHoPd (PBE-GGA, relaxed)" sg="No. 62" de_polymorph_mev_per_atom=4 pbc="T T T"
Dy -3.9636 -2.1050 5.4947
Dy -1.7018 -4.8374 2.5741
Dy 0.6111 -4.5759 5.1607
Dy 2.8730 -7.3083 2.2400
Ho -1.0275 -1.6341 3.6370
Ho 0.4359 -3.0565 0.4405
Ho -1.5266 -6.3568 7.2942
Ho -0.0632 -7.7792 4.0977
Pd -3.0082 -2.5057 1.4107
Pd -2.3661 -4.5379 5.3347
Pd 1.2755 -4.8754 2.4000
Pd 1.9175 -6.9076 6.3240

---

8
Lattice="4.4710 0.0000 0.0000 0.0000 6.8849 0.0000 0.0000 0.0000 5.6626" Properties=species:S:1:pos:R:3 comment="DyHoPd2 (PBE-GGA, relaxed)" final_energy_ev_per_cell=-46.510 sg="No. 31" pbc="T T T"
Dy 0.0000 6.4112 0.7999
Dy 2.2355 0.4737 3.6312
Ho 0.0000 2.9689 2.0317
Ho 2.2355 3.9160 4.8630
Pd 2.2355 1.4443 0.8743
Pd 2.2355 4.8571 1.9567
Pd 0.0000 5.4406 3.7056
Pd 0.0000 2.0277 4.7880

---

3
Lattice="4.0477 -2.6478 -0.4050 1.0634 -3.3371 3.3604 -0.2871 -4.7207 -1.0917" Properties=species:S:1:pos:R:3 comment="DyHoPd (PBE-GGA, relaxed)" sg="No. 216" de_polymorph_mev_per_atom=150 pbc="T T T"
Dy 1.2060 -2.6764 0.4659
Ho 3.6181 -8.0291 1.3978
Pd 0.0000 0.0000 0.0000